(1)
# Ti3Tl2S6 (PBE-GGA, optimized geometry)
data_Ti3Tl2S6
_cell_length_a 6.0028
_cell_length_b 6.0034
_cell_length_c 8.0486
_cell_angle_alpha 82.82
_cell_angle_beta 75.52
_cell_angle_gamma 60.00
_symmetry_space_group_name_H-M 'P 1'
_symmetry_Int_Tables_number 1
loop_
_symmetry_equiv_pos_as_xyz
'x,y,z'
loop_
_atom_site_label
_atom_site_type_symbol
_atom_site_fract_x
_atom_site_fract_y
_atom_site_fract_z
S1 S 0.3951 0.6670 0.8156
S2 S 0.9379 0.6670 0.1844
S3 S 0.6049 0.3330 0.1844
S4 S 0.7278 0.0000 0.8166
S5 S 0.2722 0.0000 0.1834
S6 S 0.0621 0.3330 0.8156
Tl1 Tl 0.8337 0.3327 0.5000
Tl2 Tl 0.1663 0.6673 0.5000
Ti1 Ti 0.6685 0.6629 0.0000
Ti2 Ti 0.0000 0.0000 0.0000
Ti3 Ti 0.3315 0.3371 0.0000
# Symmetry ... C2/m, No. 12
# Energy ... -0.219 hartree per atom
# Total moment ... 0.0017 μB per atom
# Energy relative to the elements, uncorrected ... -1.12 eV/atom
# DOS(E_F) ... 0.59 states/eV per atom



(2)
# Ta2TcAu (PBE-GGA, optimized geometry)
data_Ta2TcAu
_cell_length_a 9.9026
_cell_length_b 9.9026
_cell_length_c 9.9026
_cell_angle_alpha 16.63
_cell_angle_beta 16.63
_cell_angle_gamma 16.63
_symmetry_space_group_name_H-M 'P 1'
_symmetry_Int_Tables_number 1
loop_
_symmetry_equiv_pos_as_xyz
'x,y,z'
loop_
_atom_site_label
_atom_site_type_symbol
_atom_site_fract_x
_atom_site_fract_y
_atom_site_fract_z
Tc1 Tc 0.5001 0.5001 0.5001
Ta1 Ta 0.0015 0.0015 0.0015
Ta2 Ta 0.2467 0.2467 0.2467
Au1 Au 0.7517 0.7517 0.7517
# E_form ... 0.97 eV per formula unit
# Symmetry ... R3m, No. 160
# Energy ... -0.334 hartree per atom
# Total moment ... 0.1207 μB per atom
# Polymorph energy (0 for the lowest one) ... 377 meV per atom
# DOS(E_F) ... 1.32 states/eV per atom